# GGA-PBE ErTmFeAg, optimized geometry
data_ErTmFeAg
_chemical_formula_sum 'Er4 Tm4 Fe4 Ag4'
_space_group_name_H-M_alt 'F -4 3 m'
_space_group_IT_number 216
_space_group_name_Hall 'F -4 2 3'
_cell_length_a 6.880
_cell_length_b 6.880
_cell_length_c 6.880
_cell_angle_alpha 90.00
_cell_angle_beta 90.00
_cell_angle_gamma 90.00
loop_
_atom_site_label
_atom_site_type_symbol
_atom_site_fract_x
_atom_site_fract_y
_atom_site_fract_z
Er1 Er 0.000 0.000 0.000
Tm1 Tm 0.000 0.000 0.500
Fe1 Fe 0.250 0.250 0.750
Ag1 Ag 0.250 0.250 0.250
# ΔH_f (0 K) = -17.8 kJ/mol of formula units
# Crystal system = cubic

***

# GGA-PBE CaGaAgF6, optimized geometry
data_CaGaAgF6
_chemical_formula_sum 'Ca2 Ga2 Ag2 F12'
_space_group_name_H-M_alt 'P -3 1 c'
_space_group_IT_number 163
_space_group_name_Hall '-P 3 2c'
_cell_length_a 5.7379
_cell_length_b 5.7379
_cell_length_c 9.7005
_cell_angle_alpha 90.00
_cell_angle_beta 90.00
_cell_angle_gamma 120.00
loop_
_atom_site_label
_atom_site_type_symbol
_atom_site_fract_x
_atom_site_fract_y
_atom_site_fract_z
Ca1 Ca 0.3333 0.6667 0.2500
Ga1 Ga 0.3333 0.6667 0.7500
Ag1 Ag 0.0000 0.0000 0.0000
F1 F 0.0460 0.3923 0.6403
# Formation energy from raw total energies = -2692.0 meV per atom
# Crystal system = trigonal

***

# GGA-PBE BaLaSeS2, optimized geometry
data_BaLaSeS2
_chemical_formula_sum 'Ba1 La1 Se1 S2'
_space_group_name_H-M_alt 'P 4/m m m'
_space_group_IT_number 123
_space_group_name_Hall '-P 4 2'
_cell_length_a 5.526
_cell_length_b 5.526
_cell_length_c 5.771
_cell_angle_alpha 90.00
_cell_angle_beta 90.00
_cell_angle_gamma 90.00
loop_
_atom_site_label
_atom_site_type_symbol
_atom_site_fract_x
_atom_site_fract_y
_atom_site_fract_z
Ba1 Ba 0.000 0.000 0.000
La1 La 0.500 0.500 0.500
Se1 Se 0.000 0.000 0.500
S1 S 0.000 0.500 0.000
# Formation energy from raw total energies = -595.7 meV per atom
# Crystal system = tetragonal

***

How do the records compare in total DFT energy (no corrections)? In the order shown, they have -5.133 -4.815 -4.314 eV/atom.